{
  "formula": "Mg8Hg",
  "functional": "SCAN",
  "state": "single point on PBEsol structure",
  "rho_g_cm3": 3.345,
  "ef_ev_per_atom": -0.0922,
  "space_group": "I4/mmm (139)",
  "lattice_angstrom": [[-4.686, 4.686, 2.232], [4.686, -4.686, 2.232], [4.686, 4.686, -2.232]],
  "species": ["Mg", "Mg", "Mg", "Mg", "Mg", "Mg", "Mg", "Mg", "Hg"],
  "fractional_positions": [[0.000, 0.330, 0.330], [0.000, 0.670, 0.670], [0.330, 0.000, 0.330], [0.337, 0.337, 0.673], [0.337, 0.663, 0.000], [0.663, 0.337, 0.000], [0.663, 0.663, 0.327], [0.670, 0.000, 0.670], [0.000, 0.000, 0.000]]
}